First-principles (PBE) data for a relaxed KSrHfPd2 crystal, as listed in the Alexandria database. Values from VASP.

Quantum ESPRESSO input file:
```
&SYSTEM
  ibrav = 0, nat = 5, ntyp = 4
/
ATOMIC_SPECIES
K 39.10 K.upf
Sr 87.62 Sr.upf
Hf 178.49 Hf.upf
Pd 106.42 Pd.upf
CELL_PARAMETERS angstrom
5.062 0.000 0.000
0.000 5.062 0.000
0.000 0.000 5.746
ATOMIC_POSITIONS angstrom
K 0.000 0.000 0.000
Sr 2.531 2.531 0.000
Hf 0.000 0.000 2.873
Pd 0.000 2.531 2.873
Pd 2.531 0.000 2.873
```

Properties
ΔH_f (0 K)   0.373 eV/atom
Energy   -21.25 eV per cell